The following is a GGA-PBE calculation of crystalline Nb2V2Ga at its relaxed geometry, from Alexandria via LeMat-Bulk.

The structure in extended XYZ format:
```
10
Lattice="4.3791 0.0000 0.0000 0.0000 5.1691 0.0000 0.0000 0.0000 7.2746" Properties=species:S:1:pos:R:3 pbc="T T T"
Nb 0.0000 0.0000 1.4112
Nb 0.0000 0.0000 5.8634
Nb 2.1895 2.5846 2.2261
Nb 2.1895 2.5846 5.0485
V 0.0000 1.4220 3.6373
V 0.0000 3.7472 3.6373
V 2.1895 1.1626 0.0000
V 2.1895 4.0065 0.0000
Ga 0.0000 2.5846 0.0000
Ga 2.1895 0.0000 3.6373
```

Its density is 7.21 Mg/m³. The value obtained for the formation energy is 0.191 eV/atom. The offset from the most stable computed form comes out at 0.124 eV per atom.